Entry from the Alexandria database: an optimized crystal structure of CsNbSe4 (PBE-GGA).

## Properties
**Energy above the lowest structure with this stoichiometry**: 0 meV per atom
**Total energy**: -4.8425 eV per atom
**Energy relative to the elements, uncorrected**: -0.70 eV/atom

a = 6.486 Å, b = 8.370 Å, c = 8.861 Å
α = 61.82°, β = 79.86°, γ = 68.11°
Element x y z (fractional)
Cs: 0.750 0.351 0.298
Cs: 0.250 0.649 0.702
Nb: 0.250 0.000 0.000
Nb: 0.750 0.000 0.000
Se: 0.879 0.317 0.864
Se: 0.030 0.069 0.738
Se: 0.621 0.819 0.864
Se: 0.470 0.193 0.738
Se: 0.530 0.807 0.262
Se: 0.379 0.181 0.136
Se: 0.970 0.931 0.262
Se: 0.121 0.683 0.136



Entry from the Alexandria database: an optimized crystal structure of YThMg (PBE-GGA).

## Properties
**Energy above the lowest structure with this stoichiometry**: 155 meV per atom
**Total energy**: -5.0370 eV per atom

a = 3.460 Å, b = 5.460 Å, c = 5.460 Å
α = 120.00°, β = 90.00°, γ = 90.00°
Element x y z (fractional)
Y: 0.578 0.667 0.333
Mg: 0.397 0.333 0.667
Th: 0.026 0.000 0.000



Entry from the Alexandria database: an optimized crystal structure of MnNb2InH (PBE-GGA).

## Properties
**Total energy**: -7.1149 eV per atom

a = 4.057 Å, b = 4.057 Å, c = 4.451 Å
α = 90.00°, β = 90.00°, γ = 90.00°
Element x y z (fractional)
H: 0.000 0.000 0.000
Nb: 0.000 0.500 0.000
Nb: 0.500 0.000 0.000
Mn: 0.000 0.000 0.500
In: 0.500 0.500 0.500



Entry from the Alexandria database: an optimized crystal structure of Pr8Ir3SeI3 (PBE-GGA).

## Properties
**Total energy**: -5.7880 eV per atom
**Energy relative to the elements, uncorrected**: -0.92 eV/atom

a = 8.623 Å, b = 8.624 Å, c = 9.255 Å
α = 117.77°, β = 90.02°, γ = 119.98°
Element x y z (fractional)
Pr: 0.270 0.541 0.311
Pr: 0.730 0.459 0.689
Pr: 0.756 0.512 0.302
Pr: 0.244 0.488 0.698
Pr: 0.756 0.046 0.303
Pr: 0.244 0.954 0.697
Pr: 0.290 0.046 0.303
Pr: 0.710 0.954 0.697
Ir: 0.500 0.000 0.500
Ir: 0.500 0.500 0.500
Ir: 0.000 0.500 0.500
Se: 0.000 0.000 0.500
I: 0.000 0.000 0.000
I: 0.000 0.500 0.000
I: 0.500 0.500 0.000



Entry from the Alexandria database: an optimized crystal structure of Ce3NdDy2As6 (PBE-GGA).

## Properties
**Total energy**: -6.4490 eV per atom

a = 7.267 Å, b = 7.267 Å, c = 7.258 Å
α = 99.61°, β = 99.61°, γ = 120.00°
Element x y z (fractional)
Ce: 0.165 0.835 0.500
Ce: 0.835 0.165 0.500
Ce: 0.500 0.500 0.500
Nd: 0.000 0.000 0.000
Dy: 0.333 0.667 0.000
Dy: 0.667 0.333 0.000
As: 0.917 0.578 0.750
As: 0.744 0.744 0.248
As: 0.083 0.422 0.250
As: 0.578 0.917 0.750
As: 0.256 0.256 0.752
As: 0.422 0.083 0.250



Entry from the Alexandria database: an optimized crystal structure of RbLiTiTe3 (PBE-GGA).

## Properties
**Total energy**: -4.2284 eV per atom
**Energy relative to the elements, uncorrected**: -0.86 eV/atom

a = 4.122 Å, b = 9.358 Å, c = 10.727 Å
α = 112.76°, β = 90.00°, γ = 90.00°
Element x y z (fractional)
Rb: 0.250 0.247 0.274
Rb: 0.750 0.753 0.726
Li: 0.250 0.073 0.605
Li: 0.750 0.927 0.395
Ti: 0.250 0.691 0.161
Ti: 0.750 0.309 0.839
Te: 0.750 0.881 0.131
Te: 0.250 0.119 0.869
Te: 0.250 0.755 0.431
Te: 0.750 0.245 0.569
Te: 0.750 0.468 0.127
Te: 0.250 0.532 0.873



We obtain total magnetic moment values of 0.00, 0.00, 3.14, 0.00, 1.91, 0.00 Bohr magnetons per cell for the records listed above, in that order.